Computed, not measured: a relaxed SrScPb2 crystal at the GGA-PBE level of DFT.

## Properties
**Symmetry**: P2/m, No. 10
**Energy relative to the elements**: -0.41 eV per atom

Lattice parameters (Å, degrees): 4.368 3.552 8.311 64.91 90.00 90.00
Each line ends with the local moment (μB).
Element x y z (fractional)
Pb 0.000 0.965 0.035  0.00
Pb 0.000 0.535 0.465  0.00
Sc 0.500 0.250 0.250  0.06
Sr 0.500 0.750 0.750  0.00

Computed, not measured: a relaxed GaMo2C crystal at the GGA-PBE level of DFT.

## Properties
**Relative energy among the computed polymorphs**: 0.000 eV/atom
**Symmetry**: P6_3/mmc, No. 194
**Energy relative to the elements**: -0.12 eV per atom

Lattice parameters (Å, degrees): 3.074 3.074 13.226 90.00 90.00 120.00
Element x y z (fractional)
Ga 0.333 0.667 0.750
Ga 0.667 0.333 0.250
Mo 0.333 0.667 0.412
Mo 0.667 0.333 0.588
Mo 0.667 0.333 0.912
Mo 0.333 0.667 0.088
C 0.000 0.000 0.500
C 0.000 0.000 0.000